! SbMoNO2, optimized geometry, DFT GGA+U; values from VASP
&SYSTEM
  ibrav = 0, nat = 5, ntyp = 4
/
ATOMIC_SPECIES
Sb 121.76 Sb.upf
Mo 95.94 Mo.upf
N 14.01 N.upf
O 16.00 O.upf
CELL_PARAMETERS angstrom
3.957 0.000 0.000
0.000 3.957 0.000
0.000 0.000 4.190
ATOMIC_POSITIONS angstrom
Sb 0.000 0.000 0.000
Mo 1.978 1.978 2.095
N 0.000 0.000 2.095
O 0.000 1.978 0.000
O 1.978 0.000 0.000
! symmetry = No. 123
! E = -29.8 eV/cell
! density of states at the Fermi level = 1.423 states/eV/cell